Compound: NbCdMoPb2
Source: Alexandria via LeMat-Bulk
Functional: PBE
Structure: relaxed

```
data_NbCdMoPb2
_symmetry_space_group_name_H-M 'P 4/m m m'
_symmetry_Int_Tables_number 123
_symmetry_space_group_name_Hall '-P 4 2'
_cell_length_a 5.506
_cell_length_b 5.506
_cell_length_c 5.077
_cell_angle_alpha 90.00
_cell_angle_beta 90.00
_cell_angle_gamma 90.00
loop_
_atom_site_label
_atom_site_type_symbol
_atom_site_fract_x
_atom_site_fract_y
_atom_site_fract_z
_atom_site_occupancy
Nb1 Nb 0.000 0.000 0.000 1
Cd1 Cd 0.500 0.500 0.000 1
Mo1 Mo 0.000 0.000 0.500 1
Pb1 Pb 0.000 0.500 0.500 1
```

Summary:
Density of states at the Fermi level in states/eV per cell: 3.927
Volume in Å³/f.u.: 154
DFT total energy in eV/cell: -24.856
Magnetization in μB/f.u.: 1.25